P.
Computed, not measured: crystalline VOsPt at its relaxed geometry at the GGA-PBE level of DFT.

Summary:
Calculated density, g/cm³: 16.82

abc: 4.302 8.352 4.796
angles: 90.00 90.00 90.00
Fractional positions:
V 0.000 0.171 0.000
V 0.000 0.329 0.500
V 0.000 0.671 0.500
V 0.000 0.829 0.000
Os 0.500 0.175 0.678
Os 0.500 0.325 0.178
Os 0.500 0.675 0.178
Os 0.500 0.825 0.678
Pt 0.000 0.000 0.506
Pt 0.000 0.500 0.006
Pt 0.500 0.000 0.163
Pt 0.500 0.500 0.663

---

Q.
Computed, not measured: crystalline VOsPt at its relaxed geometry at the GGA-PBE level of DFT.

Summary:
Calculated density, g/cm³: 16.84

abc: 8.196 4.749 5.217
angles: 90.00 122.08 90.00
Fractional positions:
V 0.000 0.000 0.000
V 0.000 0.166 0.500
V 0.500 0.500 0.000
V 0.500 0.666 0.500
Os 0.171 0.670 0.505
Os 0.329 0.170 0.495
Os 0.671 0.170 0.505
Os 0.829 0.670 0.495
Pt 0.169 0.501 0.005
Pt 0.331 0.001 0.995
Pt 0.669 0.001 0.005
Pt 0.831 0.501 0.995

---

Which one is most stable, and which one is least stable? P is the most stable of them, while Q is the least stable.

---

P.
Computed, not measured: crystalline VOsPt at its relaxed geometry at the GGA-PBE level of DFT.

Summary:
Calculated density, g/cm³: 16.82

abc: 4.745 2.727 6.658
angles: 90.00 90.26 90.00
Fractional positions:
V 0.178 0.000 0.321
V 0.822 0.000 0.679
Os 0.000 0.500 0.000
Os 0.500 0.000 0.000
Pt 0.320 0.500 0.660
Pt 0.680 0.500 0.340

---

Q.
Computed, not measured: crystalline VOsPt at its relaxed geometry at the GGA-PBE level of DFT.

Summary:
Calculated density, g/cm³: 16.84

abc: 2.730 4.393 7.306
angles: 90.00 100.93 90.00
Fractional positions:
V 0.112 0.250 0.226
V 0.888 0.750 0.774
Os 0.226 0.750 0.451
Os 0.774 0.250 0.549
Pt 0.444 0.250 0.884
Pt 0.556 0.750 0.116

---

R.
Computed, not measured: crystalline VOsPt at its relaxed geometry at the GGA-PBE level of DFT.

Summary:
Calculated density, g/cm³: 16.79

abc: 8.307 4.782 5.123
angles: 90.00 122.00 90.00
Fractional positions:
V 0.160 0.000 0.476
V 0.340 0.500 0.524
V 0.660 0.500 0.476
V 0.840 0.000 0.524
Os 0.168 0.846 0.998
Os 0.332 0.346 0.002
Os 0.668 0.346 0.998
Os 0.832 0.846 0.002
Pt 0.000 0.341 0.000
Pt 0.000 0.511 0.500
Pt 0.500 0.011 0.500
Pt 0.500 0.841 0.000

---

S.
Computed, not measured: crystalline VOsPt at its relaxed geometry at the GGA-PBE level of DFT.

Summary:
Calculated density, g/cm³: 16.86

abc: 8.220 4.759 5.177
angles: 90.00 121.94 90.00
Fractional positions:
V 0.164 0.000 0.491
V 0.336 0.500 0.509
V 0.664 0.500 0.491
V 0.836 0.000 0.509
Os 0.000 0.501 0.500
Os 0.000 0.668 0.000
Os 0.500 0.001 0.500
Os 0.500 0.168 0.000
Pt 0.167 0.168 0.001
Pt 0.333 0.668 0.999
Pt 0.667 0.668 0.001
Pt 0.833 0.168 0.999

---

Which one is most stable, and which one is least stable? Q is the most stable of them, while S is the least stable.

---

P.
Computed, not measured: crystalline VOsPt at its relaxed geometry at the GGA-PBE level of DFT.

Summary:
Calculated density, g/cm³: 16.78

abc: 9.977 2.774 6.445
angles: 90.00 104.55 90.00
Fractional positions:
V 0.000 0.000 0.000
V 0.177 0.500 0.348
V 0.500 0.500 0.000
V 0.677 0.000 0.348
Os 0.059 0.000 0.621
Os 0.340 0.000 0.673
Os 0.559 0.500 0.621
Os 0.840 0.500 0.673
Pt 0.219 0.500 0.952
Pt 0.400 0.000 0.282
Pt 0.719 0.000 0.952
Pt 0.900 0.500 0.282

---

Q.
Computed, not measured: crystalline VOsPt at its relaxed geometry at the GGA-PBE level of DFT.

Summary:
Calculated density, g/cm³: 16.65

abc: 3.850 11.558 3.912
angles: 90.00 90.00 90.00
Fractional positions:
V 0.000 0.098 0.250
V 0.000 0.902 0.750
V 0.500 0.402 0.750
V 0.500 0.598 0.250
Os 0.000 0.252 0.750
Os 0.000 0.748 0.250
Os 0.500 0.248 0.250
Os 0.500 0.752 0.750
Pt 0.000 0.420 0.250
Pt 0.000 0.580 0.750
Pt 0.500 0.080 0.750
Pt 0.500 0.920 0.250

---

Which one is most stable, and which one is least stable? Q is the most stable of them, while P is the least stable.